(1)
DFT (GGA-PBE) results for crystalline Dy2BeGe2 at its relaxed geometry.

a b c (Å): 7.8745 7.8745 6.9580
angles (deg): 90.00 90.00 150.02
With the nearest neighbours (Å) after each atom.
Sites, in units of the cell vectors:
Dy 0.0267 0.9733 0.5000  5 Ge 2.82-2.93, 2 Be 2.91
Dy 0.2128 0.7872 0.8235  5 Ge 2.87-3.00, 1 Be 3.21
Dy 0.7872 0.2128 0.3235  5 Ge 2.87-3.00, 1 Be 3.21
Dy 0.9733 0.0267 0.0000  5 Ge 2.82-2.93, 2 Be 2.91
Be 0.4081 0.5919 0.6494  4 Ge 2.36-2.63
Be 0.5919 0.4081 0.1494  4 Ge 2.36-2.63
Ge 0.1623 0.8377 0.2233  2 Be 2.36
Ge 0.4310 0.5690 0.2885  2 Be 2.54-2.63
Ge 0.5690 0.4310 0.7885  2 Be 2.54-2.63
Ge 0.8377 0.1623 0.7233  2 Be 2.36

- calculated volume (Å³/atom) = 21.56
- size of the total moment (μB per formula unit) = 0.00
- energy of formation from the pure elements (eV/atom) = -0.624
- density (g/cm3) = 7.4

(2)
DFT (GGA-PBE) results for crystalline CaSiN at its relaxed geometry.

a b c (Å): 4.7303 4.8260 5.7666
angles (deg): 67.31 79.21 80.38
With the nearest neighbours (Å) after each atom.
Sites, in units of the cell vectors:
Ca 0.0000 0.0000 0.0000  2 N 2.44-2.48
Ca 0.4592 0.6810 0.4999  2 N 2.30-2.44
Si 0.0830 0.3253 0.3660  2 N 1.76-1.85
Si 0.4969 0.4971 0.0592  2 N 1.74-1.80
N 0.3539 0.1367 0.1840  2 Si 1.80-1.85
N 0.7918 0.5084 0.1942  2 Si 1.74-1.76

- E_form (uncorrected) (kJ/mol of formula units) = -182
- calculated volume (Å³/atom) = 19.77
- excess energy over the best structure of this formula in the dataset (meV/atom) = 162
- size of the total moment (μB per formula unit) = 0.00
- density (g/cm3) = 2.3